DFT (GGA-PBE) results for Pr2Nd2Te5 after structural relaxation.

a = 9.119 Å, b = 9.119 Å, c = 8.445 Å
α = 90.00°, β = 90.00°, γ = 54.92°
Sites, in units of the cell vectors:
1 Pr 0.196 0.196 0.000
2 Pr 0.304 0.304 0.500
3 Pr 0.696 0.696 0.500
4 Pr 0.804 0.804 0.000
5 Nd 0.147 0.853 0.652
6 Nd 0.353 0.647 0.152
7 Nd 0.647 0.353 0.848
8 Nd 0.853 0.147 0.348
9 Te 0.000 0.000 0.000
10 Te 0.019 0.702 0.345
11 Te 0.202 0.519 0.845
12 Te 0.298 0.981 0.345
13 Te 0.481 0.798 0.845
14 Te 0.500 0.500 0.500
15 Te 0.519 0.202 0.155
16 Te 0.702 0.019 0.655
17 Te 0.798 0.481 0.155
18 Te 0.981 0.298 0.655

For the total energy, the calculation gives -5.27 eV per atom. Its crystal system is orthorhombic. As for the volume: 31.93 Å³ per atom.